Entry from Alexandria: crystalline RbZnInSn2 at its relaxed geometry (PBE-GGA).

Computed properties:
As for the total energy: -2.712 eV per atom. The density of states at the Fermi level is 2.681 states/eV/cell. The formation energy is -0.11 eV per atom.

abc: 5.0514 5.0514 11.9227
angles: 90.00 90.00 90.00
With the nearest neighbours (Å) after each atom.
Space group I-4m2 (No. 119)
Unique sites:
Rb  0.0000  0.0000  0.0000 (multiplicity 2)  8 Sn 3.86, 4 In 3.91, 4 Zn 3.91
Zn  0.0000  0.5000  0.7500 (multiplicity 2)  4 Sn 2.95
In  0.0000  0.5000  0.2500 (multiplicity 2)  4 Sn 2.95
Sn  0.0000  0.0000  0.3772 (multiplicity 4)  1 Sn 2.93, 2 In 2.95, 2 Zn 2.95